No. 1
First-principles (PBE-GGA) data for crystalline YZn4Pt4 at its relaxed geometry, as listed in Alexandria.

* ΔH_f (0 K): -55.7 kJ per mole of atoms
* total magnetization: 0.00 Bohr magnetons per cell
* VASP energy: -40.92 eV/f.u.
* space group: P4_2/nmc, No. 137

abc: 5.7938 5.7938 9.0397
angles: 90.00 90.00 90.00
Fractional coordinates of all 18 atoms:
Pt (0.0000, 0.2619, 0.7197)
Pt (0.2619, 0.0000, 0.2803)
Pt (0.5000, 0.7619, 0.7803)
Pt (0.7619, 0.5000, 0.2197)
Pt (0.2381, 0.5000, 0.2197)
Pt (0.7381, 0.0000, 0.2803)
Pt (0.5000, 0.2381, 0.7803)
Pt (0.0000, 0.7381, 0.7197)
Zn (0.7796, 0.5000, 0.9255)
Zn (0.5000, 0.2204, 0.0745)
Zn (0.0000, 0.2796, 0.4255)
Zn (0.5000, 0.7796, 0.0745)
Zn (0.2204, 0.5000, 0.9255)
Zn (0.2796, 0.0000, 0.5745)
Zn (0.0000, 0.7204, 0.4255)
Zn (0.7204, 0.0000, 0.5745)
Y (0.0000, 0.0000, 0.0000)
Y (0.5000, 0.5000, 0.5000)



No. 2
First-principles (PBE-GGA) data for crystalline Nd2Sm2YEr4 at its relaxed geometry, as listed in Alexandria.

* ΔH_f (0 K): 0.2 kJ per mole of atoms
* total magnetization: 0.00 Bohr magnetons per cell
* VASP energy: -43.67 eV/f.u.
* space group: C2/m, No. 12

abc: 3.6127 9.5459 9.6059
angles: 115.29 90.00 100.91
Fractional coordinates of all 9 atoms:
Nd (0.6657, 0.3313, 0.0014)
Nd (0.3343, 0.6687, 0.9986)
Sm (0.1471, 0.2941, 0.6626)
Sm (0.8529, 0.7059, 0.3374)
Er (0.1850, 0.3700, 0.3366)
Er (0.4803, 0.9607, 0.6660)
Er (0.5197, 0.0393, 0.3340)
Er (0.8150, 0.6300, 0.6634)
Y (0.0000, 0.0000, 0.0000)



No. 3
First-principles (PBE-GGA) data for crystalline CeRh at its relaxed geometry, as listed in Alexandria.

* ΔH_f (0 K): -69.5 kJ per mole of atoms
* total magnetization: 0.00 Bohr magnetons per cell
* VASP energy: -14.73 eV/f.u.
* space group: Cmcm, No. 63

abc: 3.5935 4.3078 11.1294
angles: 90.00 99.30 90.00
Fractional coordinates of all 8 atoms:
Ce (0.4460, 0.7500, 0.8921)
Ce (0.5540, 0.2500, 0.1079)
Ce (0.6925, 0.7500, 0.3849)
Ce (0.3075, 0.2500, 0.6151)
Rh (0.8272, 0.7500, 0.6545)
Rh (0.0771, 0.7500, 0.1540)
Rh (0.1728, 0.2500, 0.3455)
Rh (0.9229, 0.2500, 0.8460)



No. 4
First-principles (PBE-GGA) data for crystalline RbLi2I3 at its relaxed geometry, as listed in Alexandria.

* total magnetization: 0.00 Bohr magnetons per cell
* VASP energy: -17.15 eV/f.u.
* space group: Cmcm, No. 63

abc: 6.3745 8.8136 8.8136
angles: 105.34 90.00 90.00
Fractional coordinates of all 12 atoms:
Li (0.0000, 0.8372, 0.8372)
Li (0.5000, 0.1628, 0.1628)
Li (0.5000, 0.8372, 0.8372)
Li (0.0000, 0.1628, 0.1628)
Rb (0.2500, 0.2982, 0.7018)
Rb (0.7500, 0.7018, 0.2982)
I (0.2500, 0.4125, 0.1676)
I (0.2500, 0.8324, 0.5875)
I (0.7500, 0.1676, 0.4125)
I (0.7500, 0.1074, 0.8926)
I (0.7500, 0.5875, 0.8324)
I (0.2500, 0.8926, 0.1074)



No. 5
First-principles (PBE-GGA) data for crystalline Rb3Ga3Sn8 at its relaxed geometry, as listed in Alexandria.

* ΔH_f (0 K): -7.8 kJ per mole of atoms
* total magnetization: 0.00 Bohr magnetons per cell
* VASP energy: -45.13 eV/f.u.
* space group: C2/m, No. 12

abc: 4.5597 9.7801 12.0089
angles: 60.43 79.06 76.52
Fractional coordinates of all 14 atoms:
Ga (0.6765, 0.6966, 0.9503)
Ga (0.0000, 0.5000, 0.5000)
Ga (0.3235, 0.3034, 0.0497)
Sn (0.8384, 0.4288, 0.8944)
Sn (0.6098, 0.0314, 0.7489)
Sn (0.3902, 0.9686, 0.2511)
Sn (0.4587, 0.3535, 0.7292)
Sn (0.5413, 0.6465, 0.2708)
Sn (0.1199, 0.1820, 0.5783)
Sn (0.8801, 0.8180, 0.4217)
Sn (0.1616, 0.5712, 0.1056)
Rb (0.7199, 0.2422, 0.3179)
Rb (0.0000, 0.0000, 0.0000)
Rb (0.2801, 0.7578, 0.6821)



No. 6
First-principles (PBE-GGA) data for crystalline Dy3YPu3S8 at its relaxed geometry, as listed in Alexandria.

* total magnetization: 16.99 Bohr magnetons per cell
* VASP energy: -125.45 eV/f.u.
* space group: R-3m, No. 166

abc: 7.8551 7.8550 7.8631
angles: 119.97 90.00 120.00
Each line ends with the local moment (μB).
Fractional coordinates of all 15 atoms:
Dy (0.0000, 0.5000, 0.5000)  0.05
Dy (0.5000, 0.0000, 0.5000)  0.05
Dy (0.5000, 0.5000, 0.5000)  0.05
S (0.2487, 0.4975, 0.7454)  -0.04
S (0.7492, 0.4985, 0.7477)  -0.06
S (0.2508, 0.5015, 0.2523)  -0.06
S (0.7513, 0.0034, 0.2546)  -0.04
S (0.2487, 0.9966, 0.7454)  -0.04
S (0.7513, 0.5025, 0.2546)  -0.04
S (0.2521, 0.0034, 0.2546)  -0.04
S (0.7479, 0.9966, 0.7454)  -0.04
Pu (0.0000, 0.0000, 0.0000)  5.31
Pu (0.0000, 0.5000, 0.0000)  5.31
Pu (0.5000, 0.5000, 0.0000)  5.31
Y (0.0000, 0.0000, 0.5000)  0.09



Q: Number 1 is which compound?
A: YZn4Pt4